# NpCoMo2, relaxed, DFT GGA-PBE
# Magnetic moment in μB/f.u.: 3.531
# N(E_F) in states/eV/atom: 1.79
# Raw total energy in eV per cell: -117.479
# Energy of formation in kJ/mol of formula units: 246.0
data_NpCoMo2
_symmetry_space_group_name_H-M 'R -3 m'
_symmetry_Int_Tables_number 166
_symmetry_space_group_name_Hall '-R 3 2"'
_cell_length_a 2.7678
_cell_length_b 2.7678
_cell_length_c 29.2718
_cell_angle_alpha 90.00
_cell_angle_beta 90.00
_cell_angle_gamma 120.00
loop_
_atom_site_label
_atom_site_type_symbol
_atom_site_fract_x
_atom_site_fract_y
_atom_site_fract_z
Np1 Np 0.0000 0.0000 0.0000
Co1 Co 0.0000 0.0000 0.5000
Mo1 Mo 0.0000 0.0000 0.0955

=====

# Sb2PAu2, relaxed, DFT GGA-PBE
# Formation energy without anion corrections in eV per atom: 0.29
# Energy above the lowest structure with this stoichiometry in eV per atom: 0.239
# Magnetic moment in μB/f.u.: 0.000
# N(E_F) in states/eV/atom: 0.42
# Raw total energy in eV per cell: -37.549
data_Sb2PAu2
_symmetry_space_group_name_H-M 'P 4/m b m'
_symmetry_Int_Tables_number 127
_symmetry_space_group_name_Hall '-P 4 2ab'
_cell_length_a 7.6104
_cell_length_b 7.6104
_cell_length_c 3.9773
_cell_angle_alpha 90.00
_cell_angle_beta 90.00
_cell_angle_gamma 90.00
loop_
_atom_site_label
_atom_site_type_symbol
_atom_site_fract_x
_atom_site_fract_y
_atom_site_fract_z
Sb1 Sb 0.1885 0.3115 0.0000
P1 P 0.0000 0.0000 0.0000
Au1 Au 0.1280 0.6280 0.5000

=====

# LaReMo2, relaxed, DFT GGA-PBE
# Energy above the lowest structure with this stoichiometry in eV per atom: 0.246
# Magnetic moment in μB/f.u.: 0.002
# N(E_F) in states/eV/atom: 1.40
# Raw total energy in eV per cell: -109.557
# Energy of formation in kJ/mol of formula units: 243.0
data_LaReMo2
_symmetry_space_group_name_H-M 'R -3 m'
_symmetry_Int_Tables_number 166
_symmetry_space_group_name_Hall '-R 3 2"'
_cell_length_a 2.9296
_cell_length_b 2.9296
_cell_length_c 29.9275
_cell_angle_alpha 90.00
_cell_angle_beta 90.00
_cell_angle_gamma 120.00
loop_
_atom_site_label
_atom_site_type_symbol
_atom_site_fract_x
_atom_site_fract_y
_atom_site_fract_z
La1 La 0.0000 0.0000 0.0000
Re1 Re 0.0000 0.0000 0.5000
Mo1 Mo 0.0000 0.0000 0.2383

=====

# CsTeAsN2, relaxed, DFT GGA-PBE
# Formation energy without anion corrections in eV per atom: 1.34
# Energy above the lowest structure with this stoichiometry in eV per atom: 0.000
# Magnetic moment in μB/f.u.: 3.980
# N(E_F) in states/eV/atom: 0.45
# Raw total energy in eV per cell: -18.599
data_CsTeAsN2
_symmetry_space_group_name_H-M 'P 4/m m m'
_symmetry_Int_Tables_number 123
_symmetry_space_group_name_Hall '-P 4 2'
_cell_length_a 4.8111
_cell_length_b 4.8111
_cell_length_c 5.5773
_cell_angle_alpha 90.00
_cell_angle_beta 90.00
_cell_angle_gamma 90.00
loop_
_atom_site_label
_atom_site_type_symbol
_atom_site_fract_x
_atom_site_fract_y
_atom_site_fract_z
Cs1 Cs 0.0000 0.0000 0.0000
Te1 Te 0.5000 0.5000 0.0000
As1 As 0.5000 0.5000 0.5000
N1 N 0.0000 0.5000 0.5000